Entry 1:
{
  "formula": "Pm12Pr2Er5",
  "functional": "GGA-PBE",
  "state": "optimized geometry",
  "lattice": [[-1.840, -4.632, -10.580], [0.525, -3.613, 7.955], [-8.585, -2.788, 2.714]],
  "species": ["Er", "Er", "Er", "Er", "Er", "Pm", "Pm", "Pm", "Pm", "Pm", "Pm", "Pm", "Pm", "Pm", "Pm", "Pm", "Pm", "Pr", "Pr"],
  "frac_coords": [[0.804, 0.608, 0.338], [0.000, 0.000, 0.500], [0.196, 0.392, 0.662], [0.690, 0.381, 0.765], [0.310, 0.619, 0.235], [0.117, 0.234, 0.060], [0.828, 0.216, 0.582], [0.950, 0.390, 0.199], [0.440, 0.390, 0.199], [0.421, 0.843, 0.782], [0.612, 0.784, 0.418], [0.883, 0.766, 0.940], [0.050, 0.610, 0.801], [0.560, 0.610, 0.801], [0.579, 0.157, 0.218], [0.388, 0.216, 0.582], [0.172, 0.784, 0.418], [0.726, 0.000, 0.000], [0.274, 0.000, 0.000]],
  "ef_mev_per_atom": 113,
  "polymorph_energy_kj_per_mol_atoms": 0.0,
  "volume_a3_per_atom": 33.89
}

Entry 2:
{
  "formula": "Pm4Pr5Er",
  "functional": "GGA-PBE",
  "state": "optimized geometry",
  "lattice": [[-1.527, -2.823, -1.773], [-0.365, -5.395, 8.878], [-7.473, 6.170, 0.397]],
  "species": ["Pm", "Pm", "Pm", "Pm", "Pr", "Pr", "Pr", "Pr", "Pr", "Er"],
  "frac_coords": [[0.300, 0.900, 0.601], [0.700, 0.100, 0.399], [0.901, 0.705, 0.801], [0.099, 0.295, 0.199], [0.700, 0.600, 0.400], [0.500, 0.500, 0.000], [0.300, 0.400, 0.600], [0.099, 0.804, 0.198], [0.901, 0.196, 0.802], [0.500, 0.000, 0.000]],
  "ef_mev_per_atom": 16,
  "polymorph_energy_kj_per_mol_atoms": 0.0,
  "volume_a3_per_atom": 34.92
}

Entry 3:
{
  "formula": "PmPr12Er7",
  "functional": "GGA-PBE",
  "state": "optimized geometry",
  "lattice": [[-5.093, 0.160, 3.654], [1.959, -11.397, -0.357], [7.311, 6.356, 6.325]],
  "species": ["Pr", "Pr", "Pr", "Pr", "Pr", "Pr", "Pr", "Pr", "Pr", "Pr", "Pr", "Pr", "Er", "Er", "Er", "Er", "Er", "Er", "Er", "Pm"],
  "frac_coords": [[0.912, 0.412, 0.824], [0.580, 0.647, 0.001], [0.088, 0.176, 0.589], [0.579, 0.999, 0.646], [0.912, 0.824, 0.411], [0.088, 0.588, 0.176], [0.499, 0.411, 0.588], [0.067, 0.646, 0.647], [0.933, 0.354, 0.353], [0.421, 0.001, 0.354], [0.501, 0.589, 0.412], [0.420, 0.353, 0.999], [0.500, 0.000, 0.000], [0.631, 0.755, 0.756], [0.369, 0.245, 0.244], [0.875, 0.244, 0.999], [0.876, 0.001, 0.245], [0.125, 0.756, 0.001], [0.124, 0.999, 0.755], [0.000, 0.000, 0.000]],
  "ef_mev_per_atom": 237,
  "polymorph_energy_kj_per_mol_atoms": 9.0,
  "volume_a3_per_atom": 35.16
}

Entry 4:
{
  "formula": "Pm3Pr2Er5",
  "functional": "GGA-PBE",
  "state": "optimized geometry",
  "lattice": [[-5.744, -7.034, 2.257], [-0.010, -6.516, -6.694], [9.020, 2.950, 5.932]],
  "species": ["Pm", "Pm", "Pm", "Pm", "Pm", "Pm", "Er", "Er", "Er", "Er", "Er", "Er", "Er", "Er", "Er", "Er", "Pr", "Pr", "Pr", "Pr"],
  "frac_coords": [[0.275, 0.518, 0.745], [0.030, 0.773, 0.255], [0.229, 0.979, 0.958], [0.725, 0.482, 0.255], [0.970, 0.227, 0.745], [0.771, 0.021, 0.042], [0.973, 0.223, 0.447], [0.358, 0.114, 0.732], [0.271, 0.521, 0.042], [0.027, 0.777, 0.553], [0.642, 0.886, 0.268], [0.525, 0.275, 0.551], [0.127, 0.382, 0.268], [0.873, 0.618, 0.732], [0.729, 0.479, 0.958], [0.475, 0.725, 0.449], [0.523, 0.279, 0.255], [0.477, 0.721, 0.745], [0.232, 0.976, 0.255], [0.768, 0.024, 0.745]],
  "ef_mev_per_atom": 180,
  "polymorph_energy_kj_per_mol_atoms": 0.0,
  "volume_a3_per_atom": 33.27
}

- Which formula does entry 1 have?
  Pm12Pr2Er5